Record 1
Here is Sc2Al6Ru after structural relaxation from the Alexandria database. Energies are from PBE.

## Properties
**DOS(E_F)**: 3.75 states/eV/cell
**Symmetry**: No. 12

a = 5.540 Å, b = 5.540 Å, c = 5.971 Å
α = 90.05°, β = 90.05°, γ = 59.99°
Fractional coordinates of all 9 atoms:
Sc 0.167 0.167 0.387
Sc 0.833 0.833 0.613
Al 0.158 0.671 0.184
Al 0.329 0.329 0.816
Al 0.329 0.842 0.816
Al 0.671 0.158 0.184
Al 0.671 0.671 0.184
Al 0.842 0.329 0.816
Ru 0.500 0.500 0.500

Record 2
Here is Sc6Al16Ru7 after structural relaxation from the Alexandria database. Energies are from PBE.

## Properties
**DOS(E_F)**: 13.22 states/eV/cell
**Symmetry**: No. 225

a = 8.747 Å, b = 8.747 Å, c = 8.747 Å
α = 60.00°, β = 60.00°, γ = 60.00°
Fractional coordinates of all 29 atoms:
Sc 0.211 0.211 0.789
Sc 0.211 0.789 0.211
Sc 0.211 0.789 0.789
Sc 0.789 0.211 0.211
Sc 0.789 0.211 0.789
Sc 0.789 0.789 0.211
Al 0.139 0.620 0.620
Al 0.164 0.164 0.164
Al 0.164 0.164 0.509
Al 0.164 0.509 0.164
Al 0.380 0.380 0.380
Al 0.380 0.380 0.861
Al 0.380 0.861 0.380
Al 0.491 0.836 0.836
Al 0.509 0.164 0.164
Al 0.620 0.139 0.620
Al 0.620 0.620 0.139
Al 0.620 0.620 0.620
Al 0.836 0.491 0.836
Al 0.836 0.836 0.491
Al 0.836 0.836 0.836
Al 0.861 0.380 0.380
Ru 0.000 0.000 0.500
Ru 0.000 0.500 0.000
Ru 0.000 0.500 0.500
Ru 0.500 0.000 0.000
Ru 0.500 0.000 0.500
Ru 0.500 0.500 0.000
Ru 0.500 0.500 0.500

Record 3
Here is ScAl4Ru after structural relaxation from the Alexandria database. Energies are from PBE.

## Properties
**DOS(E_F)**: 6.00 states/eV/cell
**Symmetry**: No. 216

a = 5.153 Å, b = 5.153 Å, c = 5.153 Å
α = 60.00°, β = 60.00°, γ = 60.00°
Fractional coordinates of all 6 atoms:
Sc 0.000 0.000 0.000
Al 0.123 0.626 0.626
Al 0.626 0.123 0.626
Al 0.626 0.626 0.123
Al 0.626 0.626 0.626
Ru 0.250 0.250 0.250

Record 4
Here is Sc2Al4Ru after structural relaxation from the Alexandria database. Energies are from PBE.

## Properties
**DOS(E_F)**: 9.75 states/eV/cell
**Symmetry**: No. 139

a = 4.572 Å, b = 4.572 Å, c = 14.106 Å
α = 90.00°, β = 90.00°, γ = 90.00°
Fractional coordinates of all 14 atoms:
Sc 0.000 0.000 0.132
Sc 0.000 0.000 0.868
Sc 0.500 0.500 0.368
Sc 0.500 0.500 0.632
Al 0.000 0.000 0.326
Al 0.000 0.000 0.674
Al 0.000 0.500 0.000
Al 0.000 0.500 0.500
Al 0.500 0.000 0.000
Al 0.500 0.000 0.500
Al 0.500 0.500 0.174
Al 0.500 0.500 0.826
Ru 0.000 0.000 0.500
Ru 0.500 0.500 0.000

Results for energy of formation from the pure elements: -438; -672; -199; -78 (in meV/atom, following the order of the records).